## MgPaCrO6 (PBE with a Hubbard U)

Data for a relaxed structure of MgPaCrO6.

Lattice parameters (Å, degrees): 5.1086 5.1086 4.7562 90.00 90.00 120.00
Space group P312 (No. 149)
Unique sites:
Mg: 0.0000 0.0000 0.0000
Pa: 0.6667 0.3333 0.5000
Cr: 0.3333 0.6667 0.0000
O: 0.0242 0.3564 0.2287

Calculated values
The calculation puts the electronic total energy at -7.79 eV/atom.